4
Lattice="-0.4769 -0.0297 -4.1529 -3.7261 -1.5253 2.5428 -3.1994 2.6679 0.3483" Properties=species:S:1:pos:R:3 comment="Cd2ReIr, optimized geometry, DFT PBEsol" dft_energy_ev_per_atom=-5.800 n_ef_per_ev_cell=4.7 relative_energy_mev_per_atom=85 sg="I-4m2, No. 119" pbc="T T T"
Cd -2.7821 -0.1031 0.3202
Cd 0.0000 0.0000 0.0000
Re -4.6203 1.2160 -1.5821
Ir -1.8382 1.3191 -1.9023